4
Lattice="-0.338 -0.919 -3.614 -0.067 -3.603 -1.017 -7.492 -1.570 -0.839" Properties=species:S:1:pos:R:3 comment="AcPu2H | Alexandria | GGA-PBE | relaxed" m_tot_mub_per_cell=0.00 space_group=R-3m total_energy_ha_per_atom=-0.314 pbc="T T T"
H 0.000 0.000 0.000
Ac -3.949 -3.046 -2.735
Pu -7.133 -3.073 -2.430
Pu -0.764 -3.019 -3.041